No. 1
Compound: LaPm6Sm2
Source: Alexandria
Functional: PBE
Structure: optimized geometry

```
LaPm6Sm2
1.0
6.230 -0.028 -0.016
0.035 7.614 0.008
0.035 3.800 6.598
La Pm Sm
1 6 2
direct
0.000 0.000 0.000
0.709 0.186 0.186
0.291 0.814 0.372
0.709 0.628 0.186
0.291 0.372 0.814
0.709 0.186 0.628
0.291 0.814 0.814
0.782 0.667 0.667
0.218 0.333 0.333
```

Formation enthalpy at 0 K (eV per atom): 0.188
Space group: P-3m1
Offset from the most stable computed form (kJ/mol of atoms): 0.7


No. 2
Compound: TbCeO
Source: Alexandria
Functional: PBE
Structure: optimized geometry

```
TbCeO
1.0
-1.263 2.913 -1.636
-2.121 -1.898 2.158
1.703 3.316 4.590
Tb O Ce
1 1 1
direct
0.333 0.667 0.561
0.667 0.333 0.338
0.000 0.000 0.101
```

E_form (uncorrected) (meV/atom): -1712
Space group: P3m1
Offset from the most stable computed form (kJ/mol of atoms): 0.0


no.,total magnetization (μB/f.u.),volume (Å³/f.u.),energy (eV per cell)
1,0.00,313,-41.18
2,0.92,65,-20.66